{
  "formula": "W2SF",
  "functional": "PBE+U",
  "state": "optimized geometry",
  "lattice_angstrom": [[0.0000, 3.0258, 3.0258], [3.0258, 0.0000, 3.0258], [3.0258, 3.0258, 0.0000]],
  "species": ["S", "W", "W", "F"],
  "fractional_positions": [[0.5000, 0.5000, 0.5000], [0.2500, 0.2500, 0.2500], [0.7500, 0.7500, 0.7500], [0.0000, 0.0000, 0.0000]],
  "de_polymorph_mev_per_atom": 300.8,
  "vol_a3_per_cell": 55.4,
  "sg": "Fm-3m",
  "mass_density_g_cm3": 12.6,
  "e_tot_ev_per_cell": -17.6
}